1.
This record from Alexandria via LeMat-Bulk describes a relaxed Ta2TlSi crystal. The functional is PBE.

a b c (Å): 3.000 3.220 7.609
angles (deg): 90.00 90.00 90.00
Sites, in units of the cell vectors:
Ta1 0.000 0.000 0.199
Ta2 0.000 0.000 0.801
Tl1 0.500 0.500 0.500
Si1 0.500 0.500 0.000

Properties
Formation energy from raw total energies ... 0.175 eV per atom
DOS(E_F) ... 2.52 states/eV per cell
SG ... Pmmm (47)
Crystal system ... orthorhombic

2.
This record from Alexandria via LeMat-Bulk describes a relaxed Ta2TlSi crystal. The functional is PBE.

a b c (Å): 3.492 4.400 4.792
angles (deg): 90.00 90.00 90.00
Sites, in units of the cell vectors:
Ta1 0.000 0.000 0.000
Ta2 0.500 0.000 0.500
Tl1 0.000 0.500 0.500
Si1 0.500 0.500 0.000

Properties
Formation energy from raw total energies ... 0.389 eV per atom
DOS(E_F) ... 2.42 states/eV per cell
SG ... Pmmm (47)
Crystal system ... orthorhombic

3.
This record from Alexandria via LeMat-Bulk describes a relaxed TaTlSi2 crystal. The functional is PBE.

a b c (Å): 5.320 5.320 5.320
angles (deg): 143.32 126.94 66.24
Sites, in units of the cell vectors:
Ta1 0.000 0.000 0.000
Tl1 0.282 0.782 0.500
Si1 0.547 0.547 0.000
Si2 0.745 0.245 0.500

Properties
Formation energy from raw total energies ... 0.463 eV per atom
DOS(E_F) ... 1.71 states/eV per cell
SG ... Imm2 (44)
Crystal system ... orthorhombic
Energy relative to the lowest polymorph listed for this composition ... 311 meV per atom

4.
This record from Alexandria via LeMat-Bulk describes a relaxed TaTlSi2 crystal. The functional is PBE.

a b c (Å): 3.454 3.454 6.217
angles (deg): 90.00 90.00 90.00
Sites, in units of the cell vectors:
Ta1 0.000 0.000 0.000
Tl1 0.000 0.000 0.500
Si1 0.500 0.500 0.195
Si2 0.500 0.500 0.805

Properties
Formation energy from raw total energies ... 0.160 eV per atom
DOS(E_F) ... 1.80 states/eV per cell
SG ... P4/mmm (123)
Crystal system ... tetragonal
Energy relative to the lowest polymorph listed for this composition ... 7 meV per atom

5.
This record from Alexandria via LeMat-Bulk describes a relaxed TaTlSi2 crystal. The functional is PBE.

a b c (Å): 2.983 2.983 8.863
angles (deg): 90.00 90.00 90.00
Sites, in units of the cell vectors:
Ta1 0.000 0.000 0.000
Tl1 0.000 0.000 0.500
Si1 0.500 0.500 0.205
Si2 0.500 0.500 0.795

Properties
Formation energy from raw total energies ... 0.274 eV per atom
DOS(E_F) ... 2.30 states/eV per cell
SG ... P4/mmm (123)
Crystal system ... tetragonal
Energy relative to the lowest polymorph listed for this composition ... 122 meV per atom

6.
This record from Alexandria via LeMat-Bulk describes a relaxed Ta2TlSi crystal. The functional is PBE.

a b c (Å): 5.439 5.439 4.929
angles (deg): 105.81 105.81 31.62
Sites, in units of the cell vectors:
Ta1 0.000 0.000 0.000
Ta2 0.243 0.243 0.646
Tl1 0.757 0.757 0.159
Si1 0.517 0.517 0.516

Properties
Formation energy from raw total energies ... 0.357 eV per atom
DOS(E_F) ... 2.14 states/eV per cell
SG ... Cm (8)
Crystal system ... monoclinic

7.
This record from Alexandria via LeMat-Bulk describes a relaxed Ta2TlSi crystal. The functional is PBE.

a b c (Å): 3.014 3.849 6.401
angles (deg): 90.00 99.59 90.00
Sites, in units of the cell vectors:
Ta1 0.071 0.000 0.286
Ta2 0.929 0.000 0.714
Tl1 0.500 0.500 0.000
Si1 0.500 0.500 0.500

Properties
Formation energy from raw total energies ... 0.236 eV per atom
DOS(E_F) ... 2.07 states/eV per cell
SG ... P2/m (10)
Crystal system ... monoclinic

8.
This record from Alexandria via LeMat-Bulk describes a relaxed Ta2TlSi crystal. The functional is PBE.

a b c (Å): 2.954 2.954 9.399
angles (deg): 90.00 90.00 105.67
Sites, in units of the cell vectors:
Ta1 0.000 0.000 0.000
Ta2 0.500 0.500 0.232
Tl1 0.000 0.000 0.510
Si1 0.500 0.500 0.798

Properties
Formation energy from raw total energies ... 0.324 eV per atom
DOS(E_F) ... 3.82 states/eV per cell
SG ... Cmm2 (35)
Crystal system ... orthorhombic

9.
This record from Alexandria via LeMat-Bulk describes a relaxed TaTlSi2 crystal. The functional is PBE.

a b c (Å): 10.074 10.074 10.074
angles (deg): 17.40 17.40 17.40
Sites, in units of the cell vectors:
Ta1 0.000 0.000 0.000
Tl1 0.500 0.500 0.500
Si1 0.264 0.264 0.264
Si2 0.736 0.736 0.736

Properties
Formation energy from raw total energies ... 0.334 eV per atom
DOS(E_F) ... 3.36 states/eV per cell
SG ... R-3m (166)
Crystal system ... trigonal
Energy relative to the lowest polymorph listed for this composition ... 181 meV per atom

10.
This record from Alexandria via LeMat-Bulk describes a relaxed TaTlSi2 crystal. The functional is PBE.

a b c (Å): 3.168 4.588 5.341
angles (deg): 90.00 107.07 90.00
Sites, in units of the cell vectors:
Ta1 0.000 0.000 0.000
Tl1 0.612 0.500 0.227
Si1 0.286 0.000 0.572
Si2 0.875 0.500 0.745

Properties
Formation energy from raw total energies ... 0.405 eV per atom
DOS(E_F) ... 2.35 states/eV per cell
SG ... Pm (6)
Crystal system ... monoclinic
Energy relative to the lowest polymorph listed for this composition ... 252 meV per atom

11.
This record from Alexandria via LeMat-Bulk describes a relaxed TaTlSi2 crystal. The functional is PBE.

a b c (Å): 4.991 4.991 2.913
angles (deg): 90.00 90.00 90.21
Sites, in units of the cell vectors:
Ta1 0.000 0.000 0.000
Tl1 0.500 0.500 0.000
Si1 0.000 0.500 0.500
Si2 0.500 0.000 0.500

Properties
Formation energy from raw total energies ... 0.496 eV per atom
DOS(E_F) ... 1.44 states/eV per cell
SG ... Cmmm (65)
Crystal system ... orthorhombic
Energy relative to the lowest polymorph listed for this composition ... 344 meV per atom

12.
This record from Alexandria via LeMat-Bulk describes a relaxed Ta2TlSi crystal. The functional is PBE.

a b c (Å): 2.980 4.797 5.411
angles (deg): 90.00 101.46 90.00
Sites, in units of the cell vectors:
Ta1 0.000 0.000 0.000
Ta2 0.226 0.500 0.751
Tl1 0.617 0.500 0.268
Si1 0.328 0.000 0.567

Properties
Formation energy from raw total energies ... 0.342 eV per atom
DOS(E_F) ... 2.09 states/eV per cell
SG ... Pm (6)
Crystal system ... monoclinic

13.
This record from Alexandria via LeMat-Bulk describes a relaxed TaTlSi2 crystal. The functional is PBE.

a b c (Å): 3.376 3.376 6.542
angles (deg): 90.00 90.00 90.00
Sites, in units of the cell vectors:
Ta1 0.000 0.000 0.000
Tl1 0.500 0.500 0.322
Si1 0.000 0.000 0.620
Si2 0.500 0.500 0.823

Properties
Formation energy from raw total energies ... 0.342 eV per atom
DOS(E_F) ... 2.06 states/eV per cell
SG ... P4mm (99)
Crystal system ... tetragonal
Energy relative to the lowest polymorph listed for this composition ... 190 meV per atom

14.
This record from Alexandria via LeMat-Bulk describes a relaxed Ta3TlSi crystal. The functional is PBE.

a b c (Å): 4.698 4.698 4.698
angles (deg): 90.00 90.00 90.00
Sites, in units of the cell vectors:
Ta1 0.000 0.000 0.500
Ta2 0.000 0.500 0.000
Ta3 0.500 0.000 0.000
Tl1 0.500 0.500 0.500
Si1 0.000 0.000 0.000

Properties
Formation energy from raw total energies ... 0.854 eV per atom
DOS(E_F) ... 10.44 states/eV per cell
SG ... Pm-3m (221)
Crystal system ... cubic
Energy relative to the lowest polymorph listed for this composition ... 0 meV per atom

15.
This record from Alexandria via LeMat-Bulk describes a relaxed TaTlSi2 crystal. The functional is PBE.

a b c (Å): 7.353 7.353 7.353
angles (deg): 131.31 131.31 71.32
Sites, in units of the cell vectors:
Ta1 0.000 0.000 0.000
Ta2 0.750 0.250 0.500
Tl1 0.250 0.750 0.500
Tl2 0.500 0.500 0.000
Si1 0.093 0.625 0.968
Si2 0.375 0.343 0.468
Si3 0.657 0.125 0.032
Si4 0.875 0.907 0.532

Properties
Formation energy from raw total energies ... 0.830 eV per atom
DOS(E_F) ... 2.40 states/eV per cell
SG ... I-42d (122)
Crystal system ... tetragonal
Energy relative to the lowest polymorph listed for this composition ... 678 meV per atom